No. 1
Here is an optimized crystal structure of MgAl2O4 from Alexandria via LeMat-Bulk. Energies are from PBE-GGA.

The structure in CIF format:
```
data_MgAl2O4
_cell_length_a 10.007
_cell_length_b 5.768
_cell_length_c 33.208
_cell_angle_alpha 90.00
_cell_angle_beta 95.72
_cell_angle_gamma 90.00
_space_group_name_H-M_alt 'C 1 2/m 1'
_space_group_IT_number 12
_space_group_name_Hall '-C 2y'
loop_
_atom_site_label
_atom_site_fract_x
_atom_site_fract_y
_atom_site_fract_z
Mg1 0.053 0.000 0.161
Mg2 0.089 0.000 0.267
Mg3 0.125 0.500 0.875
Mg4 0.161 0.500 0.982
Mg5 0.194 0.000 0.587
Mg6 0.232 0.000 0.696
Mg7 0.250 0.250 0.500
Al1 0.000 0.000 0.000
Al2 0.000 0.000 0.500
Al3 0.022 0.500 0.555
Al4 0.037 0.248 0.356
Al5 0.071 0.500 0.214
Al6 0.072 0.500 0.714
Al7 0.107 0.250 0.071
Al8 0.142 0.000 0.427
Al9 0.143 0.000 0.929
Al10 0.179 0.250 0.786
Al11 0.214 0.500 0.143
Al12 0.216 0.500 0.643
O1 0.010 0.277 0.752
O2 0.019 0.000 0.611
O3 0.034 0.000 0.101
O4 0.037 0.500 0.611
O5 0.053 0.500 0.105
O6 0.062 0.223 0.962
O7 0.068 0.237 0.461
O8 0.088 0.500 0.323
O9 0.105 0.500 0.816
O10 0.109 0.000 0.326
O11 0.125 0.000 0.819
O12 0.132 0.279 0.676
O13 0.153 0.277 0.181
O14 0.161 0.000 0.038
O15 0.164 0.000 0.529
O16 0.181 0.500 0.042
O17 0.189 0.500 0.541
O18 0.204 0.226 0.389
O19 0.224 0.223 0.895
O20 0.232 0.500 0.752
O21 0.248 0.500 0.244
```

- E above lowest polymorph (eV/atom) = 0.007
- E_form (uncorrected) (eV/atom) = -2.970
- total magnetic moment (μB/cell) = 0.00
- V (Å³/cell) = 1907.3
- DOS(E_F) (states/eV/f.u.) = 0.00

No. 2
Here is an optimized crystal structure of Mg3Al3O8 from Alexandria via LeMat-Bulk. Energies are from PBE-GGA.

The structure in CIF format:
```
data_Mg3Al3O8
_cell_length_a 5.7422
_cell_length_b 5.7422
_cell_length_c 14.6169
_cell_angle_alpha 90.00
_cell_angle_beta 90.00
_cell_angle_gamma 120.00
_space_group_name_H-M_alt 'R -3 m'
_space_group_IT_number 166
_space_group_name_Hall '-R 3 2"'
loop_
_atom_site_label
_atom_site_fract_x
_atom_site_fract_y
_atom_site_fract_z
Mg1 0.0000 0.5000 0.0000
Al1 0.0000 0.0000 0.1289
Al2 0.0000 0.0000 0.5000
O1 0.0000 0.0000 0.2514
O2 0.0134 0.5067 0.2446
```

- E_form (uncorrected) (eV/atom) = -2.698
- total magnetic moment (μB/cell) = 3.07
- V (Å³/cell) = 417.4
- DOS(E_F) (states/eV/f.u.) = 7.99

No. 3
Here is an optimized crystal structure of MgAl2O4 from Alexandria via LeMat-Bulk. Energies are from PBE-GGA.

The structure in CIF format:
```
data_MgAl2O4
_cell_length_a 5.705
_cell_length_b 5.780
_cell_length_c 8.122
_cell_angle_alpha 90.00
_cell_angle_beta 90.00
_cell_angle_gamma 90.00
_space_group_name_H-M_alt 'I m m a'
_space_group_IT_number 74
_space_group_name_Hall '-I 2b 2'
loop_
_atom_site_label
_atom_site_fract_x
_atom_site_fract_y
_atom_site_fract_z
Mg1 0.250 0.250 0.250
Al1 0.000 0.000 0.000
Al2 0.000 0.250 0.635
O1 0.000 0.001 0.234
O2 0.236 0.250 0.996
```

- E above lowest polymorph (eV/atom) = 0.047
- E_form (uncorrected) (eV/atom) = -2.930
- total magnetic moment (μB/cell) = 0.00
- V (Å³/cell) = 267.8
- DOS(E_F) (states/eV/f.u.) = 0.00

No. 4
Here is an optimized crystal structure of MgAl2O4 from Alexandria via LeMat-Bulk. Energies are from PBE-GGA.

The structure in CIF format:
```
data_MgAl2O4
_cell_length_a 4.225
_cell_length_b 4.225
_cell_length_c 4.753
_cell_angle_alpha 90.00
_cell_angle_beta 90.00
_cell_angle_gamma 90.00
_space_group_name_H-M_alt 'P -4 2 m'
_space_group_IT_number 111
_space_group_name_Hall 'P -4 2'
loop_
_atom_site_label
_atom_site_fract_x
_atom_site_fract_y
_atom_site_fract_z
Mg1 0.000 0.000 0.000
Al1 0.000 0.500 0.500
O1 0.242 0.242 0.292
```

- E above lowest polymorph (eV/atom) = 0.171
- E_form (uncorrected) (eV/atom) = -2.806
- total magnetic moment (μB/cell) = 0.00
- V (Å³/cell) = 84.8
- DOS(E_F) (states/eV/f.u.) = 0.00

No. 5
Here is an optimized crystal structure of MgAl2O4 from Alexandria via LeMat-Bulk. Energies are from PBE-GGA.

The structure in CIF format:
```
data_MgAl2O4
_cell_length_a 5.7639
_cell_length_b 5.7639
_cell_length_c 14.1802
_cell_angle_alpha 90.00
_cell_angle_beta 90.00
_cell_angle_gamma 120.00
_space_group_name_H-M_alt 'P 3 m 1'
_space_group_IT_number 156
_space_group_name_Hall 'P 3 -2"'
loop_
_atom_site_label
_atom_site_fract_x
_atom_site_fract_y
_atom_site_fract_z
Mg1 0.0000 0.0000 0.0000
Mg2 0.0000 0.0000 0.2430
Mg3 0.0000 0.0000 0.6208
Mg4 0.3333 0.6667 0.5771
Mg5 0.6667 0.3333 0.2861
Mg6 0.6667 0.3333 0.9122
Al1 0.1693 0.3385 0.7903
Al2 0.3237 0.1619 0.4563
Al3 0.3333 0.6667 0.3364
Al4 0.3333 0.6667 0.9576
Al5 0.5029 0.0058 0.1216
Al6 0.6667 0.3333 0.6659
O1 0.0000 0.0000 0.3821
O2 0.0000 0.0000 0.8554
O3 0.0386 0.5193 0.8686
O4 0.1530 0.3059 0.5287
O5 0.1871 0.3743 0.0439
O6 0.3272 0.1636 0.7136
O7 0.3333 0.6667 0.2052
O8 0.3333 0.6667 0.7184
O9 0.3590 0.1795 0.1923
O10 0.5069 0.0138 0.3801
O11 0.6667 0.3333 0.0483
O12 0.6667 0.3333 0.5342
```

- E above lowest polymorph (eV/atom) = 0.027
- E_form (uncorrected) (eV/atom) = -2.950
- total magnetic moment (μB/cell) = 0.00
- V (Å³/cell) = 408.0
- DOS(E_F) (states/eV/f.u.) = 0.00

No. 6
Here is an optimized crystal structure of Mg2AlO4 from Alexandria via LeMat-Bulk. Energies are from PBE-GGA.

The structure in CIF format:
```
data_Mg2AlO4
_cell_length_a 2.784
_cell_length_b 9.878
_cell_length_c 9.763
_cell_angle_alpha 90.00
_cell_angle_beta 90.00
_cell_angle_gamma 90.00
_space_group_name_H-M_alt 'C m c m'
_space_group_IT_number 63
_space_group_name_Hall '-C 2c 2'
loop_
_atom_site_label
_atom_site_fract_x
_atom_site_fract_y
_atom_site_fract_z
Mg1 0.000 0.126 0.076
Al1 0.000 0.377 0.250
O1 0.000 0.006 0.250
O2 0.000 0.224 0.629
O3 0.000 0.500 0.000
```

- E_form (uncorrected) (eV/atom) = -2.313
- total magnetic moment (μB/cell) = 3.42
- V (Å³/cell) = 268.5
- DOS(E_F) (states/eV/f.u.) = 2.67

No. 7
Here is an optimized crystal structure of MgAl2O4 from Alexandria via LeMat-Bulk. Energies are from PBE-GGA.

The structure in CIF format:
```
data_MgAl2O4
_cell_length_a 2.821
_cell_length_b 5.154
_cell_length_c 10.390
_cell_angle_alpha 90.00
_cell_angle_beta 90.00
_cell_angle_gamma 90.00
_space_group_name_H-M_alt 'A m m 2'
_space_group_IT_number 38
_space_group_name_Hall 'A 2 -2'
loop_
_atom_site_label
_atom_site_fract_x
_atom_site_fract_y
_atom_site_fract_z
Mg1 0.000 0.000 0.000
Al1 0.000 0.000 0.765
Al2 0.500 0.000 0.247
O1 0.000 0.223 0.160
O2 0.500 0.222 0.864
```

- E above lowest polymorph (eV/atom) = 0.628
- E_form (uncorrected) (eV/atom) = -2.349
- total magnetic moment (μB/cell) = 0.00
- V (Å³/cell) = 151.0
- DOS(E_F) (states/eV/f.u.) = 0.00

No. 8
Here is an optimized crystal structure of MgAlOsO6 from Alexandria via LeMat-Bulk. Energies are from PBE-GGA.

The structure in CIF format:
```
data_MgAlOsO6
_cell_length_a 4.9623
_cell_length_b 4.9623
_cell_length_c 9.0574
_cell_angle_alpha 90.00
_cell_angle_beta 90.00
_cell_angle_gamma 120.00
_space_group_name_H-M_alt 'P -3 1 c'
_space_group_IT_number 163
_space_group_name_Hall '-P 3 2c'
loop_
_atom_site_label
_atom_site_fract_x
_atom_site_fract_y
_atom_site_fract_z
Mg1 0.0000 0.0000 0.0000
Al1 0.3333 0.6667 0.2500
Os1 0.3333 0.6667 0.7500
O1 0.0000 0.3538 0.1364
```

- E_form (uncorrected) (eV/atom) = -1.845
- total magnetic moment (μB/cell) = 1.61
- V (Å³/cell) = 193.2
- DOS(E_F) (states/eV/f.u.) = 3.04

No. 9
Here is an optimized crystal structure of Mg2AlOsO6 from Alexandria via LeMat-Bulk. Energies are from PBE-GGA.

The structure in CIF format:
```
data_Mg2AlOsO6
_cell_length_a 5.138
_cell_length_b 5.138
_cell_length_c 4.699
_cell_angle_alpha 90.00
_cell_angle_beta 90.00
_cell_angle_gamma 90.00
_space_group_name_H-M_alt 'P 4 m m'
_space_group_IT_number 99
_space_group_name_Hall 'P 4 -2'
loop_
_atom_site_label
_atom_site_fract_x
_atom_site_fract_y
_atom_site_fract_z
Mg1 0.000 0.500 0.000
Al1 0.000 0.000 0.643
Os1 0.500 0.500 0.634
O1 0.000 0.000 0.272
O2 0.248 0.248 0.789
O3 0.500 0.500 0.257
```

- E_form (uncorrected) (eV/atom) = -1.756
- total magnetic moment (μB/cell) = 1.04
- V (Å³/cell) = 124.0
- DOS(E_F) (states/eV/f.u.) = 3.46

No. 10
Here is an optimized crystal structure of Mg2AlOsO8 from Alexandria via LeMat-Bulk. Energies are from PBE-GGA.

The structure in CIF format:
```
data_Mg2AlOsO8
_cell_length_a 4.686
_cell_length_b 5.975
_cell_length_c 4.694
_cell_angle_alpha 90.00
_cell_angle_beta 93.08
_cell_angle_gamma 90.00
_space_group_name_H-M_alt 'P 1 2/m 1'
_space_group_IT_number 10
_space_group_name_Hall '-P 2y'
loop_
_atom_site_label
_atom_site_fract_x
_atom_site_fract_y
_atom_site_fract_z
Mg1 0.000 0.243 0.000
Al1 0.500 0.000 0.500
Os1 0.500 0.500 0.500
O1 0.212 0.500 0.211
O2 0.222 0.000 0.220
O3 0.314 0.266 0.684
```

- E_form (uncorrected) (eV/atom) = -1.719
- total magnetic moment (μB/cell) = 1.01
- V (Å³/cell) = 131.3
- DOS(E_F) (states/eV/f.u.) = 3.65

No. 11
Here is an optimized crystal structure of MgAl2P3O12 from Alexandria via LeMat-Bulk. Energies are from PBE-GGA.

The structure in CIF format:
```
data_MgAl2P3O12
_cell_length_a 13.272
_cell_length_b 12.963
_cell_length_c 8.992
_cell_angle_alpha 90.00
_cell_angle_beta 90.88
_cell_angle_gamma 90.00
_space_group_name_H-M_alt 'C 1 c 1'
_space_group_IT_number 9
_space_group_name_Hall 'C -2yc'
loop_
_atom_site_label
_atom_site_fract_x
_atom_site_fract_y
_atom_site_fract_z
Mg1 0.000 0.125 0.000
Al1 0.238 0.374 0.024
Al2 0.377 0.014 0.763
P1 0.252 0.124 0.027
P2 0.357 0.480 0.762
P3 0.499 0.121 0.500
O1 0.110 0.398 0.045
O2 0.141 0.097 0.029
O3 0.267 0.243 0.033
O4 0.276 0.426 0.854
O5 0.300 0.085 0.882
O6 0.304 0.437 0.166
O7 0.307 0.078 0.163
O8 0.411 0.401 0.666
O9 0.433 0.098 0.636
O10 0.436 0.469 0.362
O11 0.471 0.045 0.372
O12 0.484 0.231 0.449
```

- E_form (uncorrected) (eV/atom) = -2.468
- total magnetic moment (μB/cell) = 4.42
- V (Å³/cell) = 1546.9
- DOS(E_F) (states/eV/f.u.) = 10.97

No. 12
Here is an optimized crystal structure of MgAlPO5 from Alexandria via LeMat-Bulk. Energies are from PBE-GGA.

The structure in CIF format:
```
data_MgAlPO5
_cell_length_a 7.188
_cell_length_b 10.470
_cell_length_c 5.508
_cell_angle_alpha 90.00
_cell_angle_beta 98.51
_cell_angle_gamma 90.00
_space_group_name_H-M_alt 'P 1 21/c 1'
_space_group_IT_number 14
_space_group_name_Hall '-P 2ybc'
loop_
_atom_site_label
_atom_site_fract_x
_atom_site_fract_y
_atom_site_fract_z
Mg1 0.014 0.142 0.118
Al1 0.359 0.175 0.556
P1 0.220 0.597 0.931
O1 0.088 0.684 0.058
O2 0.112 0.546 0.685
O3 0.268 0.220 0.255
O4 0.283 0.016 0.605
O5 0.393 0.675 0.882
```

- E_form (uncorrected) (eV/atom) = -2.723
- total magnetic moment (μB/cell) = 0.00
- V (Å³/cell) = 410.0
- DOS(E_F) (states/eV/f.u.) = 0.00

No. 13
Here is an optimized crystal structure of MgAl2P2O10 from Alexandria via LeMat-Bulk. Energies are from PBE-GGA.

The structure in CIF format:
```
data_MgAl2P2O10
_cell_length_a 7.165
_cell_length_b 7.508
_cell_length_c 7.103
_cell_angle_alpha 90.00
_cell_angle_beta 118.89
_cell_angle_gamma 90.00
_space_group_name_H-M_alt 'P 1 21/c 1'
_space_group_IT_number 14
_space_group_name_Hall '-P 2ybc'
loop_
_atom_site_label
_atom_site_fract_x
_atom_site_fract_y
_atom_site_fract_z
Mg1 0.000 0.000 0.000
Al1 0.267 0.234 0.775
P1 0.251 0.612 0.011
O1 0.055 0.744 0.923
O2 0.212 0.011 0.319
O3 0.228 0.173 0.008
O4 0.267 0.502 0.199
O5 0.446 0.730 0.080
```

- E_form (uncorrected) (eV/atom) = -2.335
- total magnetic moment (μB/cell) = 4.10
- V (Å³/cell) = 334.5
- DOS(E_F) (states/eV/f.u.) = 0.82